Record 1
Density functional theory data (PBE) for a relaxed structure of NaHfTlSe3.

a b c (Å): 8.0578 3.9356 10.6948
angles (deg): 90.00 104.77 90.00
Element x y z (fractional)
Hf 0.8090 0.7500 0.8568
Hf 0.1910 0.2500 0.1432
Tl 0.8292 0.2500 0.3183
Tl 0.1708 0.7500 0.6817
Se 0.3976 0.7500 0.1172
Se 0.2271 0.2500 0.3951
Se 0.9395 0.7500 0.1218
Se 0.7729 0.7500 0.6049
Se 0.0605 0.2500 0.8782
Se 0.6024 0.2500 0.8828
Na 0.4812 0.7500 0.3829
Na 0.5188 0.2500 0.6171

Values from the calculation:
- E: -4.9895 eV/atom
- Calculated volume: 27.33 Å³/atom
- Energy above the lowest structure with this stoichiometry: 0.0149 eV per atom


Record 2
Density functional theory data (PBE) for a relaxed structure of YCoSiPd.

a b c (Å): 4.5833 4.5833 4.5833
angles (deg): 60.00 60.00 60.00
Element x y z (fractional)
Si 0.0000 0.0000 0.0000
Co 0.7500 0.7500 0.7500
Y 0.2500 0.2500 0.2500
Pd 0.5000 0.5000 0.5000

Values from the calculation:
- E: -6.2515 eV/atom
- Calculated volume: 17.02 Å³/atom
- Energy above the lowest structure with this stoichiometry: 0.1983 eV per atom


Record 3
Density functional theory data (PBE) for a relaxed structure of SmS.

a b c (Å): 4.0038 4.0038 4.0038
angles (deg): 120.27 119.73 90.00
Element x y z (fractional)
S 0.5000 0.0000 0.5000
Sm 0.0000 0.5000 0.5000

Values from the calculation:
- E: -6.4474 eV/atom
- Calculated volume: 22.69 Å³/atom
- Energy above the lowest structure with this stoichiometry: 0.0008 eV per atom


Record 4
Density functional theory data (PBE) for a relaxed structure of GaCuPdAu.

a b c (Å): 4.4216 4.4216 4.4216
angles (deg): 60.00 60.00 60.00
Element x y z (fractional)
Au 0.5000 0.5000 0.5000
Cu 0.7500 0.7500 0.7500
Ga 0.0000 0.0000 0.0000
Pd 0.2500 0.2500 0.2500

Values from the calculation:
- E: -4.0131 eV/atom
- Calculated volume: 15.28 Å³/atom
- Energy above the lowest structure with this stoichiometry: 0.0000 eV per atom


E of number 2 (YCoSiPd)?
-6.2515 eV/atom